# 1
A plane-wave DFT calculation with PBE was carried out for a relaxed RbGe2Au2 crystal.

Output
DFT formation energy: 42 meV per atom
Space group: No. 127

Unit cell a=8.7314 b=8.7314 c=2.9987 alpha=90.00 beta=90.00 gamma=90.00
Last column: nearest neighbours and their distance in Å.
Sites, in units of the cell vectors:
Rb (0.0000, 0.0000, 0.0000)  2 Rb 3.00
Rb (0.5000, 0.5000, 0.0000)  2 Rb 3.00
Ge (0.1420, 0.3580, 0.5000)  6 Au 2.87-3.11, 2 Ge 3.00
Ge (0.3580, 0.8580, 0.5000)  6 Au 2.87-3.11, 2 Ge 3.00
Ge (0.6420, 0.1420, 0.5000)  6 Au 2.87-3.11, 2 Ge 3.00
Ge (0.8580, 0.6420, 0.5000)  6 Au 2.87-3.11, 2 Ge 3.00
Au (0.1378, 0.6378, 0.0000)  6 Ge 2.87-3.11, 2 Au 3.00
Au (0.3622, 0.1378, 0.0000)  6 Ge 2.87-3.11, 2 Au 3.00
Au (0.6378, 0.8622, 0.0000)  6 Ge 2.87-3.11, 2 Au 3.00
Au (0.8622, 0.3622, 0.0000)  6 Ge 2.87-3.11, 2 Au 3.00

# 2
A plane-wave DFT calculation with PBE was carried out for a relaxed SrTbAgHg crystal.

Output
DFT formation energy: -388 meV per atom
Space group: No. 99

Unit cell a=3.7992 b=3.7992 c=7.7231 alpha=90.00 beta=90.00 gamma=90.00
Last column: nearest neighbours and their distance in Å.
Sites, in units of the cell vectors:
Sr (0.0000, 0.0000, 0.0000)  4 Ag 3.46, 4 Hg 3.46, 1 Tb 3.79, 4 Sr 3.80
Tb (0.0000, 0.0000, 0.5094)  4 Ag 3.13, 4 Hg 3.21
Ag (0.5000, 0.5000, 0.7179)  4 Tb 3.13, 1 Hg 3.36, 4 Sr 3.46
Hg (0.5000, 0.5000, 0.2828)  4 Tb 3.21, 1 Ag 3.36, 4 Sr 3.46

# 3
A plane-wave DFT calculation with PBE was carried out for a relaxed Li2TiRe crystal.

Output
DFT formation energy: 597 meV per atom
Space group: No. 225

Unit cell a=4.2368 b=4.2368 c=4.2368 alpha=60.00 beta=60.00 gamma=60.00
Last column: nearest neighbours and their distance in Å.
Sites, in units of the cell vectors:
Li (0.2500, 0.2500, 0.2500)  4 Re 2.59, 4 Ti 2.59
Li (0.7500, 0.7500, 0.7500)  4 Re 2.59, 4 Ti 2.59
Ti (0.0000, 0.0000, 0.0000)  8 Li 2.59
Re (0.5000, 0.5000, 0.5000)  8 Li 2.59

# 4
A plane-wave DFT calculation with PBE was carried out for a relaxed AcNd11 crystal.

Output
DFT formation energy: 30 meV per atom
Space group: No. 191

Unit cell a=11.7051 b=11.7051 c=3.6478 alpha=90.00 beta=90.00 gamma=120.00
Last column: nearest neighbours and their distance in Å.
Sites, in units of the cell vectors:
Ac (0.0000, 0.0000, 0.0000)  2 Ac 3.65, 12 Nd 4.01
Nd (0.0000, 0.5000, 0.0000)  12 Nd 3.38-3.76
Nd (0.1764, 0.3527, 0.5000)  10 Nd 3.58-3.76
Nd (0.1764, 0.8236, 0.5000)  10 Nd 3.58-3.76
Nd (0.3333, 0.6667, 0.0000)  11 Nd 3.38-3.67
Nd (0.3527, 0.1764, 0.5000)  10 Nd 3.58-3.76
Nd (0.5000, 0.0000, 0.0000)  12 Nd 3.38-3.76
Nd (0.5000, 0.5000, 0.0000)  12 Nd 3.38-3.76
Nd (0.6473, 0.8236, 0.5000)  10 Nd 3.58-3.76
Nd (0.6667, 0.3333, 0.0000)  11 Nd 3.38-3.67
Nd (0.8236, 0.1764, 0.5000)  10 Nd 3.58-3.76
Nd (0.8236, 0.6473, 0.5000)  10 Nd 3.58-3.76

# 5
A plane-wave DFT calculation with PBE was carried out for a relaxed In2AgIrO8 crystal.

Output
Space group: No. 2
Formation energy without anion corrections: -0.745 eV per atom

Unit cell a=4.7619 b=4.8880 c=6.7348 alpha=88.11 beta=87.89 gamma=86.49
Last column: nearest neighbours and their distance in Å.
Sites, in units of the cell vectors:
In (0.0252, 0.0217, 0.2469)  6 O 2.12-2.26
In (0.9748, 0.9783, 0.7531)  6 O 2.12-2.26
Ag (0.5000, 0.5000, 0.0000)  4 O 2.01-2.09
Ir (0.5000, 0.5000, 0.5000)  6 O 1.85-1.98
O (0.2165, 0.8232, 0.9960)  1 Ag 2.01, 2 In 2.12-2.13
O (0.2237, 0.8061, 0.5006)  1 Ir 1.93
O (0.2761, 0.3115, 0.6810)  1 Ir 1.85
O (0.3210, 0.3536, 0.2683)  1 Ir 1.98, 1 Ag 2.09
O (0.6790, 0.6464, 0.7317)  1 Ir 1.98, 1 Ag 2.09
O (0.7239, 0.6885, 0.3190)  1 Ir 1.85
O (0.7763, 0.1939, 0.4994)  1 Ir 1.93
O (0.7835, 0.1768, 0.0040)  1 Ag 2.01, 2 In 2.12-2.13

# 6
A plane-wave DFT calculation with PBE was carried out for a relaxed MnBeCr2 crystal.

Output
DFT formation energy: -9 meV per atom
Space group: No. 99

Unit cell a=2.8451 b=2.8451 c=5.4291 alpha=90.00 beta=90.00 gamma=90.00
Last column: nearest neighbours and their distance in Å.
Sites, in units of the cell vectors:
Mn (0.0000, 0.0000, 0.0000)  4 Be 2.39, 5 Cr 2.46-2.63
Be (0.5000, 0.5000, 0.2382)  4 Mn 2.39, 4 Cr 2.42
Cr (0.0000, 0.0000, 0.4851)  4 Be 2.42, 4 Cr 2.44, 1 Mn 2.63
Cr (0.5000, 0.5000, 0.7380)  4 Cr 2.44, 4 Mn 2.46, 2 Be 2.71-2.72

# 7
A plane-wave DFT calculation with PBE was carried out for a relaxed BeOsRu crystal.

Output
DFT formation energy: 14 meV per atom
Space group: No. 44

Unit cell a=4.4524 b=4.4524 c=4.4524 alpha=144.19 beta=132.37 gamma=60.99
Last column: nearest neighbours and their distance in Å.
Sites, in units of the cell vectors:
Be (0.0000, 0.0000, 0.0000)  5 Ru 2.57-2.59, 5 Os 2.58-2.59, 2 Be 2.74
Os (0.6630, 0.6630, 0.0000)  5 Ru 2.52-2.61, 5 Be 2.58-2.59, 2 Os 2.74
Ru (0.3343, 0.3343, 0.0000)  5 Os 2.52-2.61, 5 Be 2.57-2.59, 2 Ru 2.74

# 8
A plane-wave DFT calculation with PBE was carried out for a relaxed NiHgS4 crystal.

Output
Space group: No. 2
Formation energy without anion corrections: -0.047 eV per atom

Unit cell a=4.2376 b=5.1614 c=6.8802 alpha=72.82 beta=86.86 gamma=76.36
Last column: nearest neighbours and their distance in Å.
Sites, in units of the cell vectors:
Ni (0.0000, 0.0000, 0.0000)  4 S 2.23-2.24
Hg (0.5000, 0.5000, 0.0000)  2 S 2.55
S (0.2822, 0.9975, 0.2655)  1 S 2.07, 1 Ni 2.23
S (0.2835, 0.2636, 0.7755)  1 S 2.07, 1 Ni 2.24
S (0.7165, 0.7364, 0.2245)  1 S 2.07, 1 Ni 2.24
S (0.7178, 0.0025, 0.7345)  1 S 2.07, 1 Ni 2.23

# 9
A plane-wave DFT calculation with PBE was carried out for a relaxed Ba2TbThO6 crystal.

Output
Space group: No. 14
Formation energy without anion corrections: -3.047 eV per atom

Unit cell a=6.3192 b=6.3357 c=10.9291 alpha=90.00 beta=125.17 gamma=90.00
Last column: nearest neighbours and their distance in Å.
Sites, in units of the cell vectors:
Ba (0.2401, 0.0264, 0.2493)  6 O 2.73-2.99
Ba (0.2401, 0.4736, 0.7493)  6 O 2.73-2.99
Ba (0.7599, 0.5264, 0.2507)  6 O 2.73-2.99
Ba (0.7599, 0.9736, 0.7507)  6 O 2.73-2.99
Tb (0.0000, 0.0000, 0.5000)  6 O 2.28-2.29
Tb (0.0000, 0.5000, 0.0000)  6 O 2.28-2.29
Th (0.5000, 0.0000, 0.0000)  6 O 2.29
Th (0.5000, 0.5000, 0.5000)  6 O 2.29
O (0.1759, 0.2198, 0.9563)  1 Tb 2.29, 1 Th 2.29
O (0.1759, 0.2802, 0.4563)  1 Tb 2.29, 1 Th 2.29
O (0.2344, 0.7206, 0.9553)  1 Tb 2.28, 1 Th 2.29
O (0.2344, 0.7794, 0.4553)  1 Tb 2.28, 1 Th 2.29
O (0.3295, 0.0212, 0.7497)  1 Tb 2.29, 1 Th 2.29
O (0.3295, 0.4788, 0.2497)  1 Tb 2.29, 1 Th 2.29
O (0.6705, 0.5212, 0.7503)  1 Tb 2.29, 1 Th 2.29
O (0.6705, 0.9788, 0.2503)  1 Tb 2.29, 1 Th 2.29
O (0.7656, 0.2206, 0.5447)  1 Tb 2.28, 1 Th 2.29
O (0.7656, 0.2794, 0.0447)  1 Tb 2.28, 1 Th 2.29
O (0.8241, 0.7198, 0.5437)  1 Tb 2.29, 1 Th 2.29
O (0.8241, 0.7802, 0.0437)  1 Tb 2.29, 1 Th 2.29

# 10
A plane-wave DFT calculation with PBE was carried out for a relaxed HfMnN2 crystal.

Output
Space group: No. 225
Formation energy without anion corrections: -0.369 eV per atom

Unit cell a=3.7795 b=3.7795 c=3.7795 alpha=60.00 beta=60.00 gamma=60.00
Last column: nearest neighbours and their distance in Å.
Sites, in units of the cell vectors:
Hf (0.0000, 0.0000, 0.0000)  8 N 2.31
Mn (0.5000, 0.5000, 0.5000)  8 N 2.31
N (0.2500, 0.2500, 0.2500)  4 Hf 2.31, 4 Mn 2.31
N (0.7500, 0.7500, 0.7500)  4 Mn 2.31, 4 Hf 2.31

# 11
A plane-wave DFT calculation with PBE was carried out for a relaxed HfGe2H crystal.

Output
Space group: No. 122
E_tot: -5.22 eV/atom

Unit cell a=6.3084 b=6.3084 c=6.3084 alpha=133.35 beta=133.35 gamma=68.11
Last column: nearest neighbours and their distance in Å.
Sites, in units of the cell vectors:
Hf (0.0000, 0.0000, 0.0000)  8 Ge 2.94-3.23
Hf (0.7500, 0.2500, 0.5000)  8 Ge 2.94-3.23
Ge (0.3393, 0.6250, 0.2143)  2 H 1.82
Ge (0.3750, 0.5893, 0.7143)  2 H 1.82
Ge (0.4107, 0.1250, 0.7857)  2 H 1.82
Ge (0.8750, 0.6607, 0.2857)  2 H 1.82
H (0.2500, 0.7500, 0.5000)  4 Ge 1.82
H (0.5000, 0.5000, 0.0000)  4 Ge 1.82

# 12
A plane-wave DFT calculation with PBE was carried out for a relaxed AcSmDy5 crystal.

Output
DFT formation energy: 97 meV per atom
Space group: No. 15

Unit cell a=6.6577 b=6.6577 c=11.5481 alpha=103.28 beta=103.28 gamma=95.61
Last column: nearest neighbours and their distance in Å.
Sites, in units of the cell vectors:
Ac (0.0000, 0.5000, 0.0000)  6 Dy 3.46-3.69
Ac (0.5000, 0.0000, 0.5000)  6 Dy 3.46-3.69
Sm (0.2338, 0.7662, 0.7500)  9 Dy 3.35-3.65
Sm (0.7662, 0.2338, 0.2500)  9 Dy 3.35-3.65
Dy (0.0519, 0.2036, 0.6676)  5 Dy 3.44-3.74, 2 Sm 3.51-3.65, 1 Ac 3.69
Dy (0.2036, 0.0519, 0.1676)  5 Dy 3.44-3.74, 2 Sm 3.51-3.65, 1 Ac 3.69
Dy (0.2275, 0.4360, 0.4649)  6 Dy 3.33-3.58, 2 Sm 3.40-3.50, 1 Ac 3.62
Dy (0.4262, 0.5738, 0.2500)  6 Dy 3.33-3.58, 1 Sm 3.35, 2 Ac 3.46
Dy (0.4360, 0.2275, 0.9649)  6 Dy 3.33-3.58, 2 Sm 3.40-3.50, 1 Ac 3.62
Dy (0.5640, 0.7725, 0.0351)  6 Dy 3.33-3.58, 2 Sm 3.40-3.50, 1 Ac 3.62
Dy (0.5738, 0.4262, 0.7500)  6 Dy 3.33-3.58, 1 Sm 3.35, 2 Ac 3.46
Dy (0.7725, 0.5640, 0.5351)  6 Dy 3.33-3.58, 2 Sm 3.40-3.50, 1 Ac 3.62
Dy (0.7964, 0.9481, 0.8324)  5 Dy 3.44-3.74, 2 Sm 3.51-3.65, 1 Ac 3.69
Dy (0.9481, 0.7964, 0.3324)  5 Dy 3.44-3.74, 2 Sm 3.51-3.65, 1 Ac 3.69